1 | {"formula": "InBiC2", "functional": "PBE-GGA", "state": "relaxed", "cell": [[5.273, 0.000, 0.000], [0.000, 5.273, 0.000], [2.636, 2.636, 5.257]], "species": ["C", "C", "In", "Bi", "C", "In", "C", "Bi"], "fractional_positions": [[0.129, 0.625, 0.250], [0.375, 0.379, 0.750], [0.500, 0.500, 0.000], [0.750, 0.250, 0.500], [0.621, 0.125, 0.250], [0.250, 0.750, 0.500], [0.875, 0.871, 0.750], [0.000, 0.000, 0.000]]}

---

2 | {"formula": "InBiC2", "functional": "PBE-GGA", "state": "relaxed", "cell": [[0.000, 3.182, 3.182], [3.182, 0.000, 3.182], [3.182, 3.182, 0.000]], "species": ["In", "Bi", "C", "C"], "fractional_positions": [[0.000, 0.000, 0.000], [0.500, 0.500, 0.500], [0.250, 0.250, 0.250], [0.750, 0.750, 0.750]]}

---

The structure with the most favorable energy is 1; the runner-up is 0.885 eV/atom above it.

---

1 | {"formula": "InBi3C", "functional": "PBE-GGA", "state": "relaxed", "cell": [[-2.302, 3.558, 3.925], [-0.473, -4.401, 3.712], [5.277, 1.158, 2.045]], "species": ["In", "Bi", "C", "Bi", "Bi"], "fractional_positions": [[0.000, 0.000, 0.000], [0.500, 0.000, 0.000], [0.500, 0.500, 0.500], [0.000, 0.500, 0.000], [0.000, 0.000, 0.500]]}

---

2 | {"formula": "InBi3C", "functional": "PBE-GGA", "state": "relaxed", "cell": [[5.093, 0.000, 0.000], [0.000, 5.093, 0.000], [0.000, 0.000, 5.093]], "species": ["In", "Bi", "Bi", "C", "Bi"], "fractional_positions": [[0.500, 0.500, 0.500], [0.500, 0.000, 0.000], [0.000, 0.000, 0.500], [0.000, 0.000, 0.000], [0.000, 0.500, 0.000]]}

---

The structure with the most favorable energy is 2; the runner-up is 1.145 eV/atom above it.

---

1 | {"formula": "BiIr2C", "functional": "PBE-GGA", "state": "relaxed", "cell": [[0.000, 3.165, 3.165], [3.165, 0.000, 3.165], [3.165, 3.165, 0.000]], "species": ["Bi", "C", "Ir", "Ir"], "fractional_positions": [[0.500, 0.500, 0.500], [0.000, 0.000, 0.000], [0.250, 0.250, 0.250], [0.750, 0.750, 0.750]]}

---

2 | {"formula": "BiIr2C", "functional": "PBE-GGA", "state": "relaxed", "cell": [[-2.513, -2.136, -4.156], [-4.063, -1.333, 3.142], [-5.587, 2.917, -1.507]], "species": ["Bi", "Ir", "Ir", "C", "C", "Ir", "Bi", "Ir"], "fractional_positions": [[0.000, 0.000, 0.000], [0.875, 0.755, 0.750], [0.245, 0.625, 0.250], [0.500, 0.500, 0.000], [0.250, 0.750, 0.500], [0.375, 0.495, 0.750], [0.750, 0.250, 0.500], [0.505, 0.125, 0.250]]}

---

The structure with the most favorable energy is 2; the runner-up is 1.206 eV/atom above it.